[1]
## KLaAs2 (PBE)

Data for crystalline KLaAs2 at its relaxed geometry. Values from VASP.

Properties
The polymorph energy (0 for the lowest one) is 236.7 meV/atom. The total energy is -4.4750 eV per atom. The formation energy comes out at -0.644 eV/atom.

Structure (Quantum ESPRESSO input):
```
&SYSTEM
  ibrav = 0, nat = 4, ntyp = 3
/
ATOMIC_SPECIES
As 74.92 As.upf
K 39.10 K.upf
La 138.91 La.upf
ATOMIC_POSITIONS crystal
As 0.919 0.919 0.000
As 0.762 0.262 0.500
K 0.536 0.536 0.000
La 0.283 0.783 0.500
CELL_PARAMETERS angstrom
7.756 0.035 0.006
5.303 5.659 -0.006
-6.434 -3.066 3.059
```



[2]
## CdFeAs2Se (PBE)

Data for crystalline CdFeAs2Se at its relaxed geometry. Values from VASP.

Properties
The calculation puts the formation energy (no corrections) at 1.24 eV/f.u. The polymorph energy (0 for the lowest one) is 0.0 meV/atom. The total energy is -4.1842 eV per atom.

Structure (Quantum ESPRESSO input):
```
&SYSTEM
  ibrav = 0, nat = 5, ntyp = 4
/
ATOMIC_SPECIES
As 74.92 As.upf
Fe 55.84 Fe.upf
Se 78.96 Se.upf
Cd 112.41 Cd.upf
ATOMIC_POSITIONS crystal
As 0.000 0.500 0.000
As 0.500 0.000 0.000
Fe 0.000 0.000 0.000
Se 0.000 0.000 0.500
Cd 0.500 0.500 0.500
CELL_PARAMETERS angstrom
4.405 0.000 0.000
0.000 4.405 0.000
0.000 0.000 5.504
```



[3]
## La2Ce2CoBi2 (PBE)

Data for crystalline La2Ce2CoBi2 at its relaxed geometry. Values from VASP.

Properties
The total energy is -5.9220 eV per atom. The formation energy comes out at -0.695 eV/atom.

Structure (Quantum ESPRESSO input):
```
&SYSTEM
  ibrav = 0, nat = 7, ntyp = 4
/
ATOMIC_SPECIES
La 138.91 La.upf
Ce 140.12 Ce.upf
Co 58.93 Co.upf
Bi 208.98 Bi.upf
ATOMIC_POSITIONS crystal
La 0.171 0.171 0.341
La 0.829 0.829 0.659
Ce 0.000 0.500 0.000
Ce 0.500 0.000 0.000
Co 0.000 0.000 0.000
Bi 0.361 0.361 0.722
Bi 0.639 0.639 0.278
CELL_PARAMETERS angstrom
-2.108 -3.074 -3.169
2.193 -3.777 2.204
-7.062 2.563 5.989
```